Entry from Alexandria via LeMat-Bulk: a relaxed DyTm2ScSb4 crystal (PBE-GGA).

CIF file:
```
data_DyTm2ScSb4
_chemical_formula_sum 'Dy4 Tm8 Sc4 Sb16'
_cell_length_a 8.626
_cell_length_b 12.179
_cell_length_c 8.623
_cell_angle_alpha 90.00
_cell_angle_beta 90.00
_cell_angle_gamma 90.00
_space_group_name_H-M_alt 'F m m 2'
_space_group_IT_number 42
_space_group_name_Hall 'F 2 -2'
loop_
_atom_site_label
_atom_site_fract_x
_atom_site_fract_y
_atom_site_fract_z
Dy1 0.000 0.000 0.000
Tm1 0.250 0.250 0.249
Sc1 0.000 0.000 0.500
Sb1 0.000 0.244 0.499
Sb2 0.250 0.000 0.250
```

Uncorrected energy (eV per formula unit): -44.70